# Mg2IrW PBE relaxed
data_Mg2IrW
_symmetry_space_group_name_H-M 'F m -3 m'
_symmetry_Int_Tables_number 225
_symmetry_space_group_name_Hall '-F 4 2 3'
_cell_length_a 6.384
_cell_length_b 6.384
_cell_length_c 6.384
_cell_angle_alpha 90.00
_cell_angle_beta 90.00
_cell_angle_gamma 90.00
loop_
_atom_site_label
_atom_site_fract_x
_atom_site_fract_y
_atom_site_fract_z
Mg1 0.250 0.250 0.250
Ir1 0.000 0.000 0.000
W1 0.000 0.000 0.500
# - D(E_F): 0.89 states/eV per atom
# - Magnetic moment: 2.0 μB/f.u.
# - ΔE_f: 1.97 eV/f.u.

# CsSrF3 PBE relaxed
data_CsSrF3
_symmetry_space_group_name_H-M 'I -4 m 2'
_symmetry_Int_Tables_number 119
_symmetry_space_group_name_Hall 'I -4 -2'
_cell_length_a 5.390
_cell_length_b 5.390
_cell_length_c 16.336
_cell_angle_alpha 90.00
_cell_angle_beta 90.00
_cell_angle_gamma 90.00
loop_
_atom_site_label
_atom_site_fract_x
_atom_site_fract_y
_atom_site_fract_z
Cs1 0.000 0.000 0.107
Sr1 0.000 0.000 0.500
Sr2 0.000 0.500 0.250
F1 0.000 0.238 0.360
F2 0.000 0.500 0.526
# - Energy above the most stable polymorph in this dataset: 336 meV/atom
# - D(E_F): 0.00 states/eV per atom
# - Magnetic moment: 0.0 μB/f.u.
# - Raw formation energy: -3.097 eV per atom

# Sm6Ag2Rh PBE relaxed
data_Sm6Ag2Rh
_symmetry_space_group_name_H-M 'P 1 21/c 1'
_symmetry_Int_Tables_number 14
_cell_length_a 6.763
_cell_length_b 7.592
_cell_length_c 12.040
_cell_angle_alpha 90.00
_cell_angle_beta 120.55
_cell_angle_gamma 90.00
loop_
_symmetry_equiv_pos_as_xyz
'x,y,z'
'-x,-y,-z'
'-x,y+1/2,-z+1/2'
'x,-y+1/2,z+1/2'
loop_
_atom_site_label
_atom_site_fract_x
_atom_site_fract_y
_atom_site_fract_z
Sm1 0.116 0.018 0.250
Sm2 0.213 0.685 0.061
Sm3 0.370 0.179 0.051
Ag1 0.320 0.112 0.754
Rh1 0.500 0.000 0.500
# - D(E_F): 1.10 states/eV per atom
# - Magnetic moment: 0.0 μB/f.u.
# - ΔE_f: -2.13 eV/f.u.

# SiPbSe2Br PBE relaxed
data_SiPbSe2Br
_symmetry_space_group_name_H-M 'P 4/m m m'
_symmetry_Int_Tables_number 123
_symmetry_space_group_name_Hall '-P 4 2'
_cell_length_a 5.008
_cell_length_b 5.008
_cell_length_c 5.080
_cell_angle_alpha 90.00
_cell_angle_beta 90.00
_cell_angle_gamma 90.00
loop_
_atom_site_label
_atom_site_fract_x
_atom_site_fract_y
_atom_site_fract_z
Si1 0.000 0.000 0.000
Pb1 0.500 0.500 0.500
Se1 0.000 0.500 0.000
Br1 0.000 0.000 0.500
# - Energy above the most stable polymorph in this dataset: 0 meV/atom
# - D(E_F): 0.53 states/eV per atom
# - Magnetic moment: 0.0 μB/f.u.
# - Raw formation energy: -0.136 eV per atom

# LiAl5Pd4 PBE relaxed
data_LiAl5Pd4
_symmetry_space_group_name_H-M 'P 4/m m m'
_symmetry_Int_Tables_number 123
_symmetry_space_group_name_Hall '-P 4 2'
_cell_length_a 3.137
_cell_length_b 3.137
_cell_length_c 14.773
_cell_angle_alpha 90.00
_cell_angle_beta 90.00
_cell_angle_gamma 90.00
loop_
_atom_site_label
_atom_site_fract_x
_atom_site_fract_y
_atom_site_fract_z
Li1 0.000 0.000 0.000
Al1 0.500 0.500 0.101
Al2 0.500 0.500 0.299
Al3 0.500 0.500 0.500
Pd1 0.000 0.000 0.195
Pd2 0.000 0.000 0.399
# - D(E_F): 0.15 states/eV per atom
# - Magnetic moment: 0.0 μB/f.u.
# - ΔE_f: -7.43 eV/f.u.